#A
7
Lattice="3.8255 0.0000 0.0000 0.0000 3.8255 0.0000 0.0000 0.0000 3.8255" Properties=species:S:1:pos:R:3 comment="LiC6 | Alexandria via LeMat-Bulk | PBE-GGA | optimized geometry" m_tot_mub_per_fu=0.00 spacegroup="No. 221" dos_ef_per_ev_cell=2.6 pbc="T T T"
C 0.6715 1.9128 1.9128
C 1.9128 1.9128 3.1540
C 1.9128 1.9128 0.6715
C 1.9128 0.6715 1.9128
C 1.9128 3.1540 1.9128
C 3.1540 1.9128 1.9128
Li 0.0000 0.0000 0.0000


#B
7
Lattice="-2.7720 2.4077 -2.2853 1.3664 -3.7941 -1.5625 -2.9262 -1.7543 1.7011" Properties=species:S:1:pos:R:3 comment="LiC6 | Alexandria via LeMat-Bulk | PBE-GGA | optimized geometry" m_tot_mub_per_fu=0.00 spacegroup="No. 191" dos_ef_per_ev_cell=1.6 pbc="T T T"
Li 0.0000 0.0000 0.0000
C -1.0073 -2.1429 0.3293
C -2.3998 -1.8011 -1.7136
C -2.3879 -0.0739 0.0881
C -0.5526 -3.4055 -0.1907
C -1.9320 -1.3397 -0.4332
C -3.3103 0.7273 -0.6724


Which structure loses on stability? #A does.


#A
16
Lattice="5.9582 -0.0150 0.0000 -3.2221 9.4545 0.0000 0.0000 0.0000 2.5951" Properties=species:S:1:pos:R:3 comment="Li3C5 | Alexandria via LeMat-Bulk | PBE-GGA | optimized geometry" m_tot_mub_per_fu=0.00 spacegroup="No. 6" dos_ef_per_ev_cell=4.0 pbc="T T T"
C -0.6333 5.3710 2.5944
C 2.3211 3.8727 1.2978
C 2.3211 3.8727 2.5949
C -0.6333 5.3710 1.2983
C 1.7140 0.1559 0.6488
C 5.5801 1.0805 1.9463
C 5.0095 1.5158 0.6488
C 2.3344 7.5546 0.6488
C 0.8645 0.0407 1.9463
C 2.7194 8.1129 1.9463
Li 0.7567 8.8991 0.6488
Li 3.0659 1.2607 1.9463
Li -1.4906 7.4165 0.6488
Li 1.0393 2.1922 0.6488
Li 1.5749 6.0496 1.9463
Li 4.5262 3.2799 1.9463


#B
16
Lattice="-2.2025 5.7413 2.9499 -3.0689 -6.0800 0.3620 0.2715 -1.3785 6.2056" Properties=species:S:1:pos:R:3 comment="Li3C5 | Alexandria via LeMat-Bulk | PBE-GGA | optimized geometry" m_tot_mub_per_fu=0.00 spacegroup="No. 8" pbc="T T T"
C -1.8668 -3.5911 2.8095
C -3.1393 1.8516 6.8121
C -4.8183 -1.5801 4.9046
C -1.1575 0.5687 4.4163
C -2.3040 0.8943 7.3629
C -2.5165 -2.6170 2.0815
C -3.9951 -2.3553 5.4692
C -2.0630 0.2213 3.6060
C -2.6232 -4.0736 1.7626
C -2.1961 2.3669 7.6853
Li -3.7796 -0.9722 2.8547
Li -1.0570 0.3825 1.4582
Li -3.3061 -4.2467 6.2858
Li -1.7749 2.4998 3.3944
Li -0.5496 -1.4432 3.5506
Li -3.0870 -0.2717 5.5001


Which structure loses on stability? #B does.


#A
5
Lattice="3.6835 0.0000 0.0000 0.0000 3.6835 0.0000 0.0000 0.0000 3.6835" Properties=species:S:1:pos:R:3 comment="LiMgC3 | Alexandria via LeMat-Bulk | PBE-GGA | optimized geometry" m_tot_mub_per_fu=0.00 spacegroup="No. 221" dos_ef_per_ev_cell=2.4 pbc="T T T"
Mg 1.8417 1.8417 1.8417
C 0.0000 1.8417 0.0000
C 0.0000 0.0000 1.8417
C 1.8417 0.0000 0.0000
Li 0.0000 0.0000 0.0000


#B
5
Lattice="-2.5139 -3.1984 -0.7431 1.7671 -2.1066 3.0890 -2.7676 1.5602 2.6473" Properties=species:S:1:pos:R:3 comment="LiMgC3 | Alexandria via LeMat-Bulk | PBE-GGA | optimized geometry" m_tot_mub_per_fu=0.00 spacegroup="No. 221" dos_ef_per_ev_cell=2.3 pbc="T T T"
Mg 0.0000 0.0000 0.0000
C 0.8835 -1.0533 1.5445
C -1.3838 0.7801 1.3236
C -1.2569 -1.5992 -0.3716
Li -1.7572 -1.8724 2.4965


Which structure loses on stability? #B does.


#A
5
Lattice="-1.7009 4.0980 -0.4766 -1.6392 -0.1981 4.1458 3.7860 1.7552 1.5808" Properties=species:S:1:pos:R:3 comment="LiMg3C | Alexandria via LeMat-Bulk | PBE-GGA | optimized geometry" m_tot_mub_per_fu=0.00 spacegroup="No. 221" dos_ef_per_ev_cell=3.1 pbc="T T T"
Mg -0.8196 -0.0991 2.0729
Mg 1.8930 0.8776 0.7904
Mg -0.8504 2.0490 -0.2383
C 0.0000 0.0000 0.0000
Li 0.2230 2.8275 2.6250


#B
5
Lattice="4.7027 0.0000 0.0000 0.0000 4.7027 0.0000 0.0000 0.0000 4.7027" Properties=species:S:1:pos:R:3 comment="LiMg3C | Alexandria via LeMat-Bulk | PBE-GGA | optimized geometry" m_tot_mub_per_fu=0.00 spacegroup="No. 221" dos_ef_per_ev_cell=3.2 pbc="T T T"
Mg 0.0000 2.3514 0.0000
Mg 0.0000 0.0000 2.3514
Mg 2.3514 0.0000 0.0000
C 2.3514 2.3514 2.3514
Li 0.0000 0.0000 0.0000


Which structure loses on stability? #B does.


#A
8
Lattice="-0.0341 2.3588 2.5161 -2.0335 -2.0461 1.8906 5.7442 -3.4077 5.6365" Properties=species:S:1:pos:R:3 comment="Li2MgC | Alexandria via LeMat-Bulk | PBE-GGA | optimized geometry" m_tot_mub_per_fu=0.06 spacegroup="No. 122" dos_ef_per_ev_cell=3.6 pbc="T T T"
Mg 0.0000 0.0000 0.0000
Mg 2.3382 -0.4463 5.1780
C -1.0338 0.1563 2.2034
C 1.3385 -2.6487 4.8652
Li 1.1751 -0.6427 2.1415
Li 0.1463 -0.8267 3.9818
Li 2.6628 -3.3139 6.6888
Li 3.3691 -1.4067 7.2743


#B
4
Lattice="0.7762 -1.9788 3.2423 -0.1593 1.7783 3.4413 -2.8526 -0.8420 2.4869" Properties=species:S:1:pos:R:3 comment="Li2MgC | Alexandria via LeMat-Bulk | PBE-GGA | optimized geometry" m_tot_mub_per_fu=0.00 spacegroup="No. 225" dos_ef_per_ev_cell=0.1 pbc="T T T"
Mg -1.1178 -0.5212 4.5853
C 0.0000 0.0000 0.0000
Li -0.5589 -0.2606 2.2926
Li -1.6768 -0.7819 6.8779


Which structure loses on stability? #A does.


#A
16
Lattice="-0.7256 -3.6733 1.9895 4.1770 -0.6683 0.2895 0.1217 3.8984 7.2423" Properties=species:S:1:pos:R:3 comment="LiMg6CO8 | Alexandria via LeMat-Bulk | PBE-GGA | optimized geometry" m_tot_mub_per_fu=1.00 spacegroup="No. 123" dos_ef_per_ev_cell=1.7 pbc="T T T"
Li 0.0000 0.0000 0.0000
Mg 1.7257 -2.1708 1.1395
Mg 1.7866 -0.2216 4.7606
Mg 2.1189 0.6396 1.9538
Mg 2.1798 2.5904 5.5780
Mg -0.3324 -0.8629 2.8038
Mg -0.2715 1.0879 6.4280
C 0.0609 1.9492 3.6211
O 0.0365 1.1678 2.1696
O 0.0853 2.7305 5.0727
O 1.7564 -1.1888 2.9639
O 1.8168 0.7455 6.5574
O 2.0885 -0.3341 0.1448
O 2.1494 1.6150 3.7659
O -0.3628 -1.8367 0.9947
O -0.3019 0.1125 4.6159


#B
16
Lattice="4.1677 0.0000 0.0000 0.0000 4.1677 0.0000 0.0000 0.0000 8.4588" Properties=species:S:1:pos:R:3 comment="LiMg6CO8 | Alexandria via LeMat-Bulk | PBE-GGA | optimized geometry" m_tot_mub_per_fu=0.00 spacegroup="No. 123" dos_ef_per_ev_cell=2.3 pbc="T T T"
Li 0.0000 0.0000 0.0000
Mg 0.0000 0.0000 4.2294
Mg 2.0839 2.0839 4.2294
Mg 0.0000 2.0839 2.0194
Mg 0.0000 2.0839 6.4394
Mg 2.0839 0.0000 2.0194
Mg 2.0839 0.0000 6.4394
C 2.0839 2.0839 0.0000
O 0.0000 0.0000 2.1590
O 0.0000 0.0000 6.2998
O 2.0839 2.0839 1.9253
O 2.0839 2.0839 6.5336
O 0.0000 2.0839 0.0000
O 0.0000 2.0839 4.2294
O 2.0839 0.0000 0.0000
O 2.0839 0.0000 4.2294


Which structure loses on stability? #B does.